Material: Cr2SbIr
Method: DFT, PBE-GGA
State: optimized geometry

a b c (Å): 4.806 4.806 4.806
angles (deg): 132.20 132.20 69.91
Each line ends with the local moment (μB).
Positions (direct):
Cr  0.000  0.000  0.000  1.92
Cr  0.250  0.750  0.500  1.34
Ir  0.500  0.500  0.000  0.09
Sb  0.750  0.250  0.500  -0.05

Computed properties:
Total magnetic moment ... 3.50 Bohr magnetons per cell
Total DFT energy (no corrections) ... -7.87 eV/atom
Formation energy (no corrections) ... 184 meV/atom

---

Material: CrSbTe2Ir
Method: DFT, PBE-GGA
State: optimized geometry

a b c (Å): 4.912 4.912 4.913
angles (deg): 90.00 90.00 90.00
Positions (direct):
Sb  0.000  0.000  0.500
Ir  0.500  0.500  0.500
Te  0.000  0.500  0.000
Te  0.500  0.000  0.000
Cr  0.000  0.000  0.000

Computed properties:
Total magnetic moment ... 0.02 Bohr magnetons per cell
Total DFT energy (no corrections) ... -4.76 eV/atom
Formation energy (no corrections) ... 1015 meV/atom
Excess energy over the best structure of this formula in the dataset ... 0.000 eV/atom

---

Material: ScCrIr2
Method: DFT, PBE-GGA
State: optimized geometry

a b c (Å): 8.635 8.635 8.635
angles (deg): 19.38 19.38 19.38
Each line ends with the local moment (μB).
Positions (direct):
Cr  0.750  0.750  0.750  2.05
Ir  0.004  0.004  0.004  -0.01
Ir  0.496  0.496  0.496  -0.01
Sc  0.250  0.250  0.250  -0.03

Computed properties:
Total magnetic moment ... 2.19 Bohr magnetons per cell
Total DFT energy (no corrections) ... -8.55 eV/atom
Excess energy over the best structure of this formula in the dataset ... 0.349 eV/atom
Energy relative to the elements ... -49 kJ/mol of formula units

---

Material: ScCr2Ir2
Method: DFT, PBE-GGA
State: optimized geometry

a b c (Å): 7.387 7.387 2.744
angles (deg): 90.00 90.00 90.00
Each line ends with the local moment (μB).
Positions (direct):
Sc  0.000  0.000  0.000  0.08
Sc  0.500  0.500  0.000  0.08
Cr  0.166  0.666  0.500  0.72
Cr  0.666  0.834  0.500  0.72
Cr  0.834  0.334  0.500  0.72
Cr  0.334  0.166  0.500  0.72
Ir  0.370  0.870  0.000  -0.06
Ir  0.870  0.630  0.000  -0.06
Ir  0.630  0.130  0.000  -0.06
Ir  0.130  0.370  0.000  -0.06

Computed properties:
Total magnetic moment ... 3.17 Bohr magnetons per cell
Total DFT energy (no corrections) ... -8.82 eV/atom
Excess energy over the best structure of this formula in the dataset ... 0.083 eV/atom
Energy relative to the elements ... -76 kJ/mol of formula units

---

Material: ScCr2Ir
Method: DFT, PBE-GGA
State: optimized geometry

a b c (Å): 2.784 4.212 5.283
angles (deg): 90.00 90.00 90.00
Positions (direct):
Cr  0.000  0.000  0.064
Cr  0.000  0.000  0.436
Ir  0.500  0.500  0.250
Sc  0.500  0.500  0.750

Computed properties:
Total magnetic moment ... 0.00 Bohr magnetons per cell
Total DFT energy (no corrections) ... -8.47 eV/atom
Excess energy over the best structure of this formula in the dataset ... 0.312 eV/atom
Energy relative to the elements ... 55 kJ/mol of formula units

---

Material: ScCr2Ir
Method: DFT, PBE-GGA
State: optimized geometry

a b c (Å): 4.955 4.955 2.705
angles (deg): 90.00 90.00 119.29
Positions (direct):
Cr  0.000  0.000  0.000
Cr  0.500  0.500  0.000
Ir  0.500  0.000  0.500
Sc  0.000  0.500  0.500

Computed properties:
Total magnetic moment ... 0.00 Bohr magnetons per cell
Total DFT energy (no corrections) ... -8.44 eV/atom
Excess energy over the best structure of this formula in the dataset ... 0.334 eV/atom
Energy relative to the elements ... 64 kJ/mol of formula units

---

Material: Sc2Cr2Ir
Method: DFT, PBE-GGA
State: optimized geometry

a b c (Å): 6.218 6.218 4.338
angles (deg): 90.00 90.00 90.00
Positions (direct):
Sc  0.179  0.679  0.500
Sc  0.679  0.821  0.500
Sc  0.821  0.321  0.500
Sc  0.321  0.179  0.500
Cr  0.381  0.881  0.000
Cr  0.881  0.619  0.000
Cr  0.619  0.119  0.000
Cr  0.119  0.381  0.000
Ir  0.000  0.000  0.000
Ir  0.500  0.500  0.000

Computed properties:
Total magnetic moment ... 0.00 Bohr magnetons per cell
Total DFT energy (no corrections) ... -8.23 eV/atom
Energy relative to the elements ... -36 kJ/mol of formula units

---

Material: ScCr2Ir2
Method: DFT, PBE-GGA
State: optimized geometry

a b c (Å): 7.375 7.375 2.724
angles (deg): 90.00 90.00 90.00
Positions (direct):
Sc  0.000  0.000  0.000
Sc  0.500  0.500  0.000
Cr  0.388  0.888  0.000
Cr  0.888  0.612  0.000
Cr  0.612  0.112  0.000
Cr  0.112  0.388  0.000
Ir  0.177  0.677  0.500
Ir  0.677  0.823  0.500
Ir  0.823  0.323  0.500
Ir  0.323  0.177  0.500

Computed properties:
Total magnetic moment ... 0.00 Bohr magnetons per cell
Total DFT energy (no corrections) ... -8.90 eV/atom
Excess energy over the best structure of this formula in the dataset ... 0.000 eV/atom
Energy relative to the elements ... -116 kJ/mol of formula units

---

Material: ScCrIr2
Method: DFT, PBE-GGA
State: optimized geometry

a b c (Å): 4.407 4.407 4.407
angles (deg): 60.00 60.00 60.00
Each line ends with the local moment (μB).
Positions (direct):
Cr  0.500  0.500  0.500  0.32
Ir  0.000  0.000  0.000  0.27
Ir  0.750  0.750  0.750  0.33
Sc  0.250  0.250  0.250  -0.01

Computed properties:
Total magnetic moment ... 0.94 Bohr magnetons per cell
Total DFT energy (no corrections) ... -8.48 eV/atom
Excess energy over the best structure of this formula in the dataset ... 0.415 eV/atom
Energy relative to the elements ... -23 kJ/mol of formula units

---

Material: ScCr2Ir
Method: DFT, PBE-GGA
State: optimized geometry

a b c (Å): 3.867 2.815 5.589
angles (deg): 74.45 90.00 90.00
Positions (direct):
Cr  0.000  0.072  0.043
Cr  0.500  0.199  0.230
Ir  0.000  0.450  0.477
Sc  0.500  0.780  0.751

Computed properties:
Total magnetic moment ... 0.00 Bohr magnetons per cell
Total DFT energy (no corrections) ... -8.65 eV/atom
Excess energy over the best structure of this formula in the dataset ... 0.132 eV/atom
Energy relative to the elements ... -14 kJ/mol of formula units

---

Material: ScCrIr
Method: DFT, PBE-GGA
State: optimized geometry

a b c (Å): 5.906 5.906 2.932
angles (deg): 75.63 75.63 28.74
Each line ends with the local moment (μB).
Positions (direct):
Cr  0.981  0.981  0.019  0.81
Ir  0.353  0.353  0.647  0.04
Sc  0.665  0.665  0.335  -0.04

Computed properties:
Total magnetic moment ... 0.89 Bohr magnetons per cell
Total DFT energy (no corrections) ... -8.48 eV/atom
Excess energy over the best structure of this formula in the dataset ... 0.000 eV/atom
Energy relative to the elements ... -59 kJ/mol of formula units

---

Material: ScCr2Ir
Method: DFT, PBE-GGA
State: optimized geometry

a b c (Å): 4.409 4.409 4.403
angles (deg): 120.04 120.04 89.96
Each line ends with the local moment (μB).
Positions (direct):
Cr  0.000  0.000  0.000  2.41
Cr  0.250  0.750  0.500  -2.57
Ir  0.500  0.500  0.000  -0.11
Sc  0.750  0.250  0.500  0.05

Computed properties:
Total magnetic moment ... 0.17 Bohr magnetons per cell
Total DFT energy (no corrections) ... -8.76 eV/atom
Excess energy over the best structure of this formula in the dataset ... 0.016 eV/atom
Energy relative to the elements ... -59 kJ/mol of formula units

---

Material: Sc4CrIr
Method: DFT, PBE-GGA
State: optimized geometry

a b c (Å): 5.496 5.496 5.496
angles (deg): 60.00 60.00 60.00
Each line ends with the local moment (μB).
Positions (direct):
Sc  0.878  0.374  0.374  -0.21
Sc  0.374  0.374  0.878  -0.21
Sc  0.374  0.878  0.374  -0.21
Sc  0.374  0.374  0.374  -0.21
Cr  0.750  0.750  0.750  3.48
Ir  0.000  0.000  0.000  -0.04

Computed properties:
Total magnetic moment ... 2.98 Bohr magnetons per cell
Total DFT energy (no corrections) ... -6.85 eV/atom
Energy relative to the elements ... 261 kJ/mol of formula units

---

Material: ScCrIr2
Method: DFT, PBE-GGA
State: optimized geometry

a b c (Å): 4.442 4.442 4.442
angles (deg): 60.00 60.00 60.00
Each line ends with the local moment (μB).
Positions (direct):
Sc  0.000  0.000  0.000  -0.03
Cr  0.500  0.500  0.500  2.73
Ir  0.250  0.250  0.250  0.10
Ir  0.750  0.750  0.750  0.10

Computed properties:
Total magnetic moment ... 3.05 Bohr magnetons per cell
Total DFT energy (no corrections) ... -8.82 eV/atom
Excess energy over the best structure of this formula in the dataset ... 0.076 eV/atom
Energy relative to the elements ... -154 kJ/mol of formula units

---

Material: ScCr2Ir
Method: DFT, PBE-GGA
State: optimized geometry

a b c (Å): 3.163 4.237 4.523
angles (deg): 90.00 90.00 90.00
Each line ends with the local moment (μB).
Positions (direct):
Cr  0.000  0.000  0.000  -2.58
Cr  0.500  0.500  0.000  2.37
Ir  0.500  0.000  0.500  -0.07
Sc  0.000  0.500  0.500  0.02

Computed properties:
Total magnetic moment ... 0.23 Bohr magnetons per cell
Total DFT energy (no corrections) ... -8.78 eV/atom
Excess energy over the best structure of this formula in the dataset ... 0.000 eV/atom
Energy relative to the elements ... -65 kJ/mol of formula units

---

Material: ScCr2Ir
Method: DFT, PBE-GGA
State: optimized geometry

a b c (Å): 5.152 5.152 4.223
angles (deg): 65.87 65.87 34.56
Positions (direct):
Cr  0.004  0.004  0.994
Cr  0.496  0.496  0.506
Ir  0.750  0.750  0.750
Sc  0.250  0.250  0.250

Computed properties:
Total magnetic moment ... 0.00 Bohr magnetons per cell
Total DFT energy (no corrections) ... -8.66 eV/atom
Excess energy over the best structure of this formula in the dataset ... 0.121 eV/atom
Energy relative to the elements ... -18 kJ/mol of formula units

---

Material: ScCrIr2
Method: DFT, PBE-GGA
State: optimized geometry

a b c (Å): 5.391 5.391 5.391
angles (deg): 147.59 131.51 59.54
Each line ends with the local moment (μB).
Positions (direct):
Cr  0.233  0.733  0.500  2.43
Ir  0.011  0.011  0.000  -0.01
Ir  0.756  0.256  0.500  0.07
Sc  0.500  0.500  0.000  -0.03

Computed properties:
Total magnetic moment ... 2.61 Bohr magnetons per cell
Total DFT energy (no corrections) ... -8.67 eV/atom
Excess energy over the best structure of this formula in the dataset ... 0.228 eV/atom
Energy relative to the elements ... -95 kJ/mol of formula units

---

Material: ScCrIr2
Method: DFT, PBE-GGA
State: optimized geometry

a b c (Å): 3.492 4.202 4.202
angles (deg): 90.00 90.00 90.00
Each line ends with the local moment (μB).
Positions (direct):
Cr  0.500  0.000  0.500  2.82
Ir  0.000  0.000  0.000  -0.01
Ir  0.000  0.500  0.500  -0.01
Sc  0.500  0.500  0.000  0.04

Computed properties:
Total magnetic moment ... 3.10 Bohr magnetons per cell
Total DFT energy (no corrections) ... -8.89 eV/atom
Excess energy over the best structure of this formula in the dataset ... 0.000 eV/atom
Energy relative to the elements ... -183 kJ/mol of formula units

---

Material: ScCr2Ir
Method: DFT, PBE-GGA
State: optimized geometry

a b c (Å): 4.966 5.018 2.729
angles (deg): 80.46 77.62 115.88
Positions (direct):
Cr  0.000  0.000  0.000
Cr  0.500  0.000  0.500
Ir  0.000  0.500  0.500
Sc  0.500  0.500  0.000

Computed properties:
Total magnetic moment ... 0.00 Bohr magnetons per cell
Total DFT energy (no corrections) ... -8.56 eV/atom
Excess energy over the best structure of this formula in the dataset ... 0.214 eV/atom
Energy relative to the elements ... 18 kJ/mol of formula units

---

Material: ScCrIr
Method: DFT, PBE-GGA
State: optimized geometry

a b c (Å): 4.315 4.315 2.917
angles (deg): 90.00 90.00 120.00
Each line ends with the local moment (μB).
Positions (direct):
Cr  0.000  0.000  0.086  0.51
Ir  0.333  0.667  0.244  -0.02
Sc  0.667  0.333  0.670  0.01

Computed properties:
Total magnetic moment ... 0.51 Bohr magnetons per cell
Total DFT energy (no corrections) ... -8.39 eV/atom
Excess energy over the best structure of this formula in the dataset ... 0.082 eV/atom
Energy relative to the elements ... -35 kJ/mol of formula units